Below is a relaxed structure of TmHfMoO6, with properties calculated at the PBE with a Hubbard U level.

Unit cell a=5.3569 b=5.3569 c=9.1349 alpha=90.00 beta=90.00 gamma=120.00
With the nearest neighbours (Å) after each atom.
Sites, in units of the cell vectors:
Tm1 0.3333 0.6667 0.2500  6 O 2.23
Tm2 0.6667 0.3333 0.7500  6 O 2.23
Hf1 0.0000 0.0000 0.0000  6 O 2.12
Hf2 0.0000 0.0000 0.5000  6 O 2.12
Mo1 0.6667 0.3333 0.2500  6 O 2.01
Mo2 0.3333 0.6667 0.7500  6 O 2.01
O1 0.6880 0.6552 0.1277  1 Mo 2.01, 1 Hf 2.12, 1 Tm 2.23
O2 0.9672 0.3120 0.1277  1 Mo 2.01, 1 Hf 2.12, 1 Tm 2.23
O3 0.3120 0.9672 0.6277  1 Mo 2.01, 1 Hf 2.12, 1 Tm 2.23
O4 0.0328 0.6880 0.8723  1 Mo 2.01, 1 Hf 2.12, 1 Tm 2.23
O5 0.3448 0.3120 0.3723  1 Mo 2.01, 1 Hf 2.12, 1 Tm 2.23
O6 0.9672 0.6552 0.3723  1 Mo 2.01, 1 Hf 2.12, 1 Tm 2.23
O7 0.6552 0.9672 0.8723  1 Mo 2.01, 1 Hf 2.12, 1 Tm 2.23
O8 0.6880 0.0328 0.3723  1 Mo 2.01, 1 Hf 2.12, 1 Tm 2.23
O9 0.0328 0.3448 0.6277  1 Mo 2.01, 1 Hf 2.12, 1 Tm 2.23
O10 0.3448 0.0328 0.1277  1 Mo 2.01, 1 Hf 2.12, 1 Tm 2.23
O11 0.6552 0.6880 0.6277  1 Mo 2.01, 1 Hf 2.12, 1 Tm 2.23
O12 0.3120 0.3448 0.8723  1 Mo 2.01, 1 Hf 2.12, 1 Tm 2.23

Summary:
Theoretical density = 7.89 g/cm3
SG = No. 163
Fermi-level density of states = 2.94 states/eV/f.u.
E = -151.373 eV per cell